# NaCdFe2Cl | the Alexandria database | PBEsol | relaxed
# uncorrected formation energy = 0.54 eV/atom
# DOS at the Fermi energy = 4.4 states/eV/f.u.
# raw total energy = -3.970 eV/atom
data_NaCdFe2Cl
_chemical_formula_sum 'Na1 Cd1 Fe2 Cl1'
_cell_length_a 4.210
_cell_length_b 4.210
_cell_length_c 4.911
_cell_angle_alpha 90.00
_cell_angle_beta 90.00
_cell_angle_gamma 90.00
_space_group_name_H-M_alt 'P 4/m m m'
_space_group_IT_number 123
_space_group_name_Hall '-P 4 2'
loop_
_atom_site_label
_atom_site_fract_x
_atom_site_fract_y
_atom_site_fract_z
Na1 0.000 0.000 0.000
Cd1 0.500 0.500 0.000
Fe1 0.000 0.500 0.500
Cl1 0.000 0.000 0.500


# GePbAu3 | the Alexandria database | PBEsol | relaxed
# ΔE_f = 0.984 eV per atom
# DOS at the Fermi energy = 2.3 states/eV/f.u.
# raw total energy = -3.158 eV/atom
data_GePbAu3
_chemical_formula_sum 'Ge1 Pb1 Au3'
_cell_length_a 5.166
_cell_length_b 5.166
_cell_length_c 5.166
_cell_angle_alpha 90.00
_cell_angle_beta 90.00
_cell_angle_gamma 90.00
_space_group_name_H-M_alt 'P m -3 m'
_space_group_IT_number 221
_space_group_name_Hall '-P 4 2 3'
loop_
_atom_site_label
_atom_site_fract_x
_atom_site_fract_y
_atom_site_fract_z
Ge1 0.000 0.000 0.000
Pb1 0.500 0.500 0.500
Au1 0.000 0.500 0.500


# AgIr2Au | the Alexandria database | PBEsol | relaxed
# ΔE_f = 0.343 eV per atom
# DOS at the Fermi energy = 3.9 states/eV/f.u.
# raw total energy = -6.377 eV/atom
data_AgIr2Au
_chemical_formula_sum 'Ag2 Ir4 Au2'
_cell_length_a 9.071
_cell_length_b 2.781
_cell_length_c 4.943
_cell_angle_alpha 90.00
_cell_angle_beta 99.55
_cell_angle_gamma 90.00
_space_group_name_H-M_alt 'C 1 m 1'
_space_group_IT_number 8
_space_group_name_Hall 'C -2y'
loop_
_atom_site_label
_atom_site_fract_x
_atom_site_fract_y
_atom_site_fract_z
Ag1 0.000 0.000 0.000
Ir1 0.254 0.500 0.305
Ir2 0.495 0.000 0.480
Au1 0.246 0.000 0.786


Question: Which of these has the lowest raw total energy?
Answer: AgIr2Au


Repeat the first record exactly.
# NaCdFe2Cl | the Alexandria database | PBEsol | relaxed
# uncorrected formation energy = 0.54 eV/atom
# DOS at the Fermi energy = 4.4 states/eV/f.u.
# raw total energy = -3.970 eV/atom
data_NaCdFe2Cl
_chemical_formula_sum 'Na1 Cd1 Fe2 Cl1'
_cell_length_a 4.210
_cell_length_b 4.210
_cell_length_c 4.911
_cell_angle_alpha 90.00
_cell_angle_beta 90.00
_cell_angle_gamma 90.00
_space_group_name_H-M_alt 'P 4/m m m'
_space_group_IT_number 123
_space_group_name_Hall '-P 4 2'
loop_
_atom_site_label
_atom_site_fract_x
_atom_site_fract_y
_atom_site_fract_z
Na1 0.000 0.000 0.000
Cd1 0.500 0.500 0.000
Fe1 0.000 0.500 0.500
Cl1 0.000 0.000 0.500


Question: raw total energy of number 2 (GePbAu3)?
Answer: -3.158 eV/atom


Question: Which value of DOS at the Fermi energy does entry 3 give?
Answer: 3.9 states/eV/f.u.